No. 1
Crystalline Pu2U4Os3 at its relaxed geometry, computed with PBE.

extended XYZ file:
```
9
Lattice="4.977 -2.325 0.000 4.977 2.325 0.000 -4.948 0.000 7.081" Properties=species:S:1:pos:R:3 pbc="T T T"
Pu -0.547 0.000 1.690
Pu 5.553 0.000 5.392
U 1.967 0.000 0.570
U 1.356 0.000 4.286
U 3.650 0.000 2.795
U 3.039 0.000 6.511
Os -1.484 0.000 4.628
Os 4.977 0.000 0.000
Os 6.490 0.000 2.454
```

Formation energy ... -0.10 eV per atom
D(E_F) ... 1.75 states/eV/atom
Calculated total energy ... -108.4 eV/cell

No. 2
Crystalline Li2CoHgH at its relaxed geometry, computed with PBE.

extended XYZ file:
```
5
Lattice="3.957 0.000 0.000 0.000 3.957 0.000 0.000 0.000 3.542" Properties=species:S:1:pos:R:3 pbc="T T T"
Li 0.000 1.978 0.000
Li 1.978 0.000 0.000
Co 0.000 0.000 1.771
Hg 1.978 1.978 1.771
H 0.000 0.000 0.000
```

D(E_F) ... 0.32 states/eV/atom
Calculated total energy ... -15.1 eV/cell

No. 3
Crystalline Mg5Tl2CdIn2 at its relaxed geometry, computed with PBE.

extended XYZ file:
```
20
Lattice="12.088 0.000 0.000 0.000 12.088 0.000 0.000 0.000 3.454" Properties=species:S:1:pos:R:3 pbc="T T T"
Mg 0.000 6.044 0.000
Mg 0.071 2.413 0.000
Mg 2.413 12.017 0.000
Mg 3.632 5.973 0.000
Mg 5.973 8.457 0.000
Mg 6.044 0.000 0.000
Mg 6.115 3.632 0.000
Mg 8.457 6.115 0.000
Mg 9.676 0.071 0.000
Mg 12.017 9.676 0.000
Tl 2.005 8.049 1.727
Tl 4.039 2.005 1.727
Tl 8.049 10.083 1.727
Tl 10.083 4.039 1.727
Cd 0.000 0.000 1.727
Cd 6.044 6.044 1.727
In 1.819 4.226 1.727
In 4.226 10.270 1.727
In 7.863 1.819 1.727
In 10.270 7.863 1.727
```

Formation energy ... 0.00 eV per atom
D(E_F) ... 0.34 states/eV/atom
Calculated total energy ... -38.2 eV/cell

No. 4
Crystalline TmNi2Rh at its relaxed geometry, computed with PBE.

extended XYZ file:
```
16
Lattice="5.026 0.000 0.000 0.000 4.901 0.000 0.000 0.000 11.423" Properties=species:S:1:pos:R:3 pbc="T T T"
Tm 1.257 0.000 1.159
Tm 1.257 2.451 4.510
Tm 3.770 0.000 10.263
Tm 3.770 2.451 6.913
Ni 0.000 0.000 5.711
Ni 0.000 2.451 0.000
Ni 1.257 1.230 7.291
Ni 1.257 3.671 7.291
Ni 2.513 0.000 5.711
Ni 2.513 2.451 0.000
Ni 3.770 1.230 4.132
Ni 3.770 3.671 4.132
Rh 1.257 0.000 9.519
Rh 1.257 2.451 9.347
Rh 3.770 0.000 1.904
Rh 3.770 2.451 2.076
```

Formation energy ... -0.16 eV per atom
D(E_F) ... 0.88 states/eV/atom
Calculated total energy ... -96.2 eV/cell